The following is a DFT calculation (PBE+U) of crystalline MoWO5 at its relaxed geometry.

It has space group Immm (No. 71), with a = 3.725 Å, b = 6.436 Å, c = 7.748 Å, α = 90.00°, β = 90.00° and γ = 90.00°. The distinct sites, in fractional coordinates, are Mo at (0.000, 0.000, 0.000), W at (0.000, 0.000, 0.500), O at (0.000, 0.000, 0.253), O at (0.000, 0.309, 0.500) and O at (0.000, 0.500, 0.000).

The total energy comes out at -7.3232 eV/atom.